Nd2Ga2Se | Alexandria | GGA-PBE | optimized geometry; magnetic moment = 0.0 Bohr magnetons per cell; ΔE_f (raw) = -1.201 eV per atom; crystal system = trigonal
1.0
-0.038 -2.131 3.677
3.697 0.997 -1.845
-1.076 7.839 2.077
Ga Nd Se
2 2 1
Direct
0.354 0.177 0.532
0.646 0.823 0.468
0.816 0.408 0.225
0.184 0.592 0.775
0.000 0.000 0.000



Nd6GaTe3Se2 | Alexandria | GGA-PBE | optimized geometry; magnetic moment = 0.0 Bohr magnetons per cell; ΔE_f (raw) = -1.451 eV per atom; crystal system = monoclinic
1.0
4.329 0.000 0.000
0.000 8.890 0.184
-2.164 -2.700 9.263
Nd Se Te Ga
6 2 3 1
Direct
0.342 0.908 0.683
0.328 0.433 0.657
0.672 0.567 0.343
0.658 0.092 0.317
0.996 0.765 0.992
0.004 0.235 0.008
0.833 0.668 0.665
0.167 0.332 0.335
0.500 0.500 0.000
0.831 0.169 0.663
0.169 0.831 0.337
0.500 0.000 0.000



Nd4GaTeSe2 | Alexandria | GGA-PBE | optimized geometry; magnetic moment = 0.0 Bohr magnetons per cell; ΔE_f (raw) = -1.432 eV per atom; crystal system = monoclinic
1.0
4.269 0.000 0.000
0.000 7.493 -0.175
0.000 2.615 7.135
Nd Se Ga Te
4 2 1 1
Direct
0.500 0.752 0.258
0.000 0.241 0.269
0.500 0.248 0.742
0.000 0.759 0.731
0.500 0.000 0.500
0.000 0.000 0.000
0.000 0.500 0.500
0.500 0.500 0.000



NdThGaSe | Alexandria | GGA-PBE | optimized geometry; magnetic moment = 0.0 Bohr magnetons per cell; ΔE_f (raw) = -1.148 eV per atom; crystal system = tetragonal
1.0
4.277 0.000 0.000
0.000 4.277 0.000
0.000 0.000 6.024
Nd Ga Th Se
1 1 1 1
Direct
0.000 0.000 0.500
0.000 0.000 0.000
0.500 0.500 0.000
0.500 0.500 0.500



NdTl2GaSe4 | Alexandria | GGA-PBE | optimized geometry; magnetic moment = 0.0 Bohr magnetons per cell; ΔE_f (raw) = -0.794 eV per atom; crystal system = orthorhombic
1.0
8.640 -0.051 -0.175
-0.057 8.640 -0.175
-4.355 -4.358 6.250
Tl Ga Se Nd
4 2 8 2
Direct
0.500 0.000 0.000
0.500 0.500 0.000
0.000 0.000 0.500
0.500 0.000 0.500
0.500 0.500 0.500
0.000 0.000 0.000
0.243 0.257 0.455
0.243 0.257 0.045
0.745 0.289 0.517
0.255 0.711 0.483
0.757 0.743 0.545
0.789 0.245 0.017
0.757 0.743 0.955
0.211 0.755 0.983
0.000 0.500 0.500
0.000 0.500 0.000



Nd3GaSi4 | Alexandria | GGA-PBE | optimized geometry; magnetic moment = 0.0 Bohr magnetons per cell; ΔE_f (raw) = -0.486 eV per atom; crystal system = orthorhombic
1.0
-1.171 -4.032 1.532
5.589 -1.200 1.112
-2.975 5.463 5.586
Si Nd Ga
4 3 1
Direct
0.624 0.426 0.249
0.375 0.176 0.751
0.376 0.574 0.751
0.625 0.824 0.249
0.000 0.500 0.000
0.813 0.813 0.626
0.187 0.187 0.374
0.500 0.000 0.000



Nd6Ga2Si | Alexandria | GGA-PBE | optimized geometry; magnetic moment = 0.0 Bohr magnetons per cell; ΔE_f (raw) = -0.369 eV per atom; crystal system = orthorhombic
1.0
8.785 0.070 -0.017
-3.264 8.156 0.017
-2.971 -3.972 7.251
Nd Ga Si
12 4 2
Direct
0.288 0.619 0.330
0.712 0.381 0.670
0.436 0.262 0.174
0.288 0.958 0.670
0.196 0.746 0.942
0.912 0.738 0.174
0.804 0.254 0.058
0.088 0.262 0.826
0.196 0.254 0.450
0.804 0.746 0.550
0.564 0.738 0.826
0.712 0.042 0.330
0.639 0.000 0.639
0.500 0.622 0.122
0.361 0.000 0.361
0.500 0.378 0.878
0.000 0.000 0.000
0.000 0.500 0.500



Nd2Ga2Si | Alexandria | GGA-PBE | optimized geometry; magnetic moment = 0.0 Bohr magnetons per cell; ΔE to the lowest computed polymorph = 45.0 meV per atom; ΔE_f (raw) = -0.624 eV per atom; crystal system = orthorhombic
1.0
4.192 0.000 0.000
0.000 3.807 -1.235
0.000 0.246 7.240
Nd Ga Si
2 2 1
Direct
0.000 0.935 0.870
0.000 0.681 0.363
0.500 0.308 0.615
0.500 0.508 0.015
0.500 0.110 0.220



Nd6GaSi2 | Alexandria | GGA-PBE | optimized geometry; magnetic moment = 0.0 Bohr magnetons per cell; ΔE to the lowest computed polymorph = 126.2 meV per atom; ΔE_f (raw) = -0.357 eV per atom; crystal system = monoclinic
1.0
6.286 0.000 0.475
0.000 8.392 0.000
-0.133 0.000 9.844
Nd Si Ga
12 4 2
Direct
0.615 0.185 0.559
0.864 0.955 0.227
0.885 0.685 0.941
0.364 0.836 0.053
0.364 0.545 0.727
0.136 0.045 0.773
0.864 0.664 0.553
0.636 0.455 0.273
0.636 0.164 0.947
0.385 0.815 0.441
0.136 0.336 0.447
0.115 0.315 0.059
0.421 0.116 0.255
0.579 0.884 0.745
0.921 0.384 0.755
0.079 0.616 0.245
0.500 0.500 0.000
0.000 0.000 0.500



Nd6GaSi2 | Alexandria | GGA-PBE | optimized geometry; magnetic moment = 0.0 Bohr magnetons per cell; ΔE to the lowest computed polymorph = 0.0 meV per atom; ΔE_f (raw) = -0.483 eV per atom; crystal system = orthorhombic
1.0
-1.919 -7.952 3.066
7.490 3.031 3.322
-6.300 5.602 2.290
Nd Ga Si
12 2 4
Direct
0.200 0.246 0.446
0.709 0.385 0.676
0.089 0.268 0.821
0.800 0.246 0.046
0.291 0.615 0.324
0.447 0.268 0.179
0.800 0.754 0.554
0.911 0.732 0.179
0.709 0.033 0.324
0.291 0.967 0.676
0.200 0.754 0.954
0.553 0.732 0.821
0.000 0.000 0.000
0.000 0.500 0.500
0.500 0.386 0.886
0.500 0.614 0.114
0.373 0.000 0.373
0.627 0.000 0.627



Nd12GaSi6 | Alexandria | GGA-PBE | optimized geometry; magnetic moment = 0.0 Bohr magnetons per cell; ΔE_f (raw) = -0.507 eV per atom; crystal system = cubic
1.0
-4.978 3.029 6.702
2.751 -8.240 1.845
7.044 5.299 -1.086
Nd Si Ga
12 6 1
Direct
0.705 0.892 0.188
0.188 0.705 0.892
0.812 0.705 0.517
0.517 0.812 0.705
0.812 0.295 0.108
0.705 0.517 0.812
0.295 0.108 0.812
0.188 0.295 0.483
0.483 0.188 0.295
0.295 0.483 0.188
0.108 0.812 0.295
0.892 0.188 0.705
0.500 0.886 0.386
0.114 0.614 0.500
0.614 0.500 0.114
0.500 0.114 0.614
0.386 0.500 0.886
0.886 0.386 0.500
0.000 0.000 0.000



Nd2GaSi2 | Alexandria | GGA-PBE | optimized geometry; magnetic moment = 0.0 Bohr magnetons per cell; ΔE_f (raw) = -0.579 eV per atom; crystal system = orthorhombic
1.0
-0.957 4.003 -0.259
0.541 -0.132 -4.032
-6.733 -1.531 1.201
Ga Nd Si
1 2 2
Direct
0.500 0.110 0.221
0.000 0.686 0.373
0.000 0.930 0.860
0.500 0.504 0.008
0.500 0.311 0.622



Nd2GaSi2 | Alexandria | GGA-PBE | optimized geometry; magnetic moment = 0.0 Bohr magnetons per cell; ΔE_f (raw) = -0.685 eV per atom; crystal system = monoclinic
1.0
4.255 0.000 0.000
2.127 5.528 -0.026
2.127 0.819 9.602
Si Ga Nd
4 2 4
Direct
0.968 0.654 0.410
0.032 0.346 0.590
0.618 0.875 0.889
0.382 0.125 0.111
0.441 0.810 0.308
0.559 0.190 0.692
0.106 0.696 0.092
0.894 0.304 0.908
0.292 0.769 0.646
0.708 0.231 0.354



Nd3Ga2Si4 | Alexandria | GGA-PBE | optimized geometry; magnetic moment = 0.0 Bohr magnetons per cell; ΔE_f (raw) = -0.641 eV per atom; crystal system = monoclinic
1.0
4.225 0.000 0.000
-2.113 5.391 -1.150
0.000 0.291 8.269
Si Ga Nd
4 2 3
Direct
0.276 0.552 0.950
0.942 0.885 0.608
0.724 0.448 0.050
0.058 0.115 0.392
0.389 0.778 0.724
0.611 0.222 0.276
0.334 0.668 0.330
0.000 0.000 0.000
0.666 0.332 0.670



Nd3Ga2Si2 | Alexandria | GGA-PBE | optimized geometry; magnetic moment = 0.6 Bohr magnetons per cell; ΔE_f (raw) = -0.723 eV per atom; crystal system = orthorhombic
1.0
3.966 0.000 -0.857
-0.223 4.268 -1.034
0.032 0.101 9.755
Nd Ga Si
3 2 2
Direct
0.686 0.186 0.372
0.000 0.000 0.000
0.314 0.814 0.628
0.566 0.566 0.133
0.434 0.434 0.867
0.144 0.644 0.287
0.856 0.356 0.713



Nd3Ga2Si | Alexandria | GGA-PBE | optimized geometry; magnetic moment = 0.0 Bohr magnetons per cell; ΔE_f (raw) = -0.594 eV per atom; crystal system = orthorhombic
1.0
-2.760 1.360 -2.737
8.135 -1.983 -9.188
-4.280 -11.372 -1.334
Nd Si Ga
12 4 8
Direct
0.250 0.788 0.707
0.750 0.947 0.116
0.750 0.553 0.616
0.250 0.712 0.207
0.250 0.377 0.064
0.250 0.053 0.884
0.750 0.877 0.436
0.750 0.212 0.293
0.250 0.447 0.384
0.750 0.623 0.936
0.750 0.288 0.793
0.250 0.123 0.564
0.250 0.370 0.632
0.750 0.630 0.368
0.750 0.870 0.868
0.250 0.130 0.132
0.750 0.985 0.690
0.250 0.485 0.810
0.250 0.015 0.310
0.250 0.811 0.975
0.750 0.515 0.190
0.250 0.689 0.475
0.750 0.189 0.025
0.750 0.311 0.525



Nd5Ga2Si | Alexandria | GGA-PBE | optimized geometry; magnetic moment = 0.0 Bohr magnetons per cell; ΔE_f (raw) = -0.478 eV per atom; crystal system = tetragonal
1.0
-4.246 4.541 4.840
0.741 -5.385 5.703
7.694 3.601 -3.041
Nd Ga Si
10 4 2
Direct
0.000 0.000 0.000
0.977 0.477 0.302
0.175 0.023 0.698
0.023 0.523 0.698
0.675 0.175 0.698
0.523 0.675 0.698
0.325 0.825 0.302
0.825 0.977 0.302
0.500 0.500 0.000
0.477 0.325 0.302
0.118 0.382 0.000
0.882 0.618 0.000
0.618 0.118 0.000
0.382 0.882 0.000
0.750 0.750 0.500
0.250 0.250 0.500



Nd3Ga3Si | Alexandria | GGA-PBE | optimized geometry; magnetic moment = 0.4 Bohr magnetons per cell; ΔE_f (raw) = -0.675 eV per atom; crystal system = orthorhombic
1.0
4.068 0.000 -0.887
-0.216 4.257 -0.989
0.013 0.035 9.828
Ga Nd Si
3 3 1
Direct
0.565 0.565 0.130
0.859 0.359 0.717
0.142 0.642 0.283
0.997 0.997 0.995
0.685 0.185 0.369
0.317 0.817 0.635
0.435 0.435 0.870



Nd3GaSi | Alexandria | GGA-PBE | optimized geometry; magnetic moment = 0.0 Bohr magnetons per cell; ΔE to the lowest computed polymorph = 0.0 meV per atom; ΔE_f (raw) = -0.536 eV per atom; crystal system = orthorhombic
1.0
-0.231 -3.474 -2.970
6.248 -1.679 1.476
-2.976 -5.360 6.502
Nd Ga Si
6 2 2
Direct
0.750 0.238 0.451
0.250 0.762 0.951
0.250 0.762 0.549
0.750 0.743 0.250
0.750 0.238 0.049
0.250 0.257 0.750
0.250 0.435 0.250
0.750 0.565 0.750
0.750 0.954 0.750
0.250 0.046 0.250



NdGaSi2 | Alexandria | GGA-PBE | optimized geometry; magnetic moment = 0.0 Bohr magnetons per cell; ΔE_f (raw) = -0.198 eV per atom; crystal system = orthorhombic
1.0
-3.451 -0.982 -1.413
2.220 -1.789 -4.176
-0.750 -3.058 3.957
Si Ga Nd
2 1 1
Direct
0.500 0.554 0.946
0.500 0.054 0.446
0.500 0.554 0.446
0.000 0.054 0.946



Nd2Ga2Si | Alexandria | GGA-PBE | optimized geometry; magnetic moment = 0.0 Bohr magnetons per cell; ΔE to the lowest computed polymorph = 0.0 meV per atom; ΔE_f (raw) = -0.669 eV per atom; crystal system = monoclinic
1.0
4.178 0.000 0.000
2.089 5.597 -0.003
2.089 0.870 10.013
Nd Ga Si
4 4 2
Direct
0.900 0.298 0.902
0.294 0.773 0.640
0.100 0.702 0.098
0.706 0.227 0.360
0.026 0.352 0.596
0.974 0.648 0.404
0.635 0.853 0.877
0.365 0.147 0.123
0.567 0.177 0.689
0.433 0.823 0.311